(1)
Material: YMo2Pt
Method: DFT, PBE-GGA
State: relaxed

Summary:
electronic total energy = -8.107 eV/atom
ΔE_f = 0.435 eV per atom
magnetic moment = 0.02 μB/f.u.
offset from the most stable computed form = 572 meV/atom

abc: 2.8978 2.8978 29.9706
angles: 90.00 90.00 120.00
Space group R-3m (No. 166, hexagonal axes)
Inequivalent atoms, fractional coordinates:
Y: 0.0000 0.0000 0.0000 x3
Mo: 0.0000 0.0000 0.2414 x6
Pt: 0.0000 0.0000 0.5000 x3


(2)
Material: NpAlSb2
Method: DFT, PBE-GGA
State: relaxed

Summary:
electronic total energy = -6.383 eV/atom
magnetic moment = 3.70 μB/f.u.
offset from the most stable computed form = 0 meV/atom
ΔE_f (raw) = -151 meV/atom

abc: 4.692 4.692 4.242
angles: 90.00 90.00 90.00
Space group P4/mmm (No. 123)
Inequivalent atoms, fractional coordinates:
Np: 0.000 0.000 0.000 x1
Al: 0.500 0.500 0.000 x1
Sb: 0.000 0.500 0.500 x2


(3)
Material: CaCdPd
Method: DFT, PBE-GGA
State: relaxed

Summary:
electronic total energy = -3.200 eV/atom
ΔE_f = -0.496 eV per atom
magnetic moment = 0.00 μB/f.u.

abc: 4.7222 4.7222 3.6679
angles: 90.00 90.00 120.00
Space group P-6m2 (No. 187)
Inequivalent atoms, fractional coordinates:
Ca: 0.0000 0.0000 0.0000 x1
Cd: 0.3333 0.6667 0.5000 x1
Pd: 0.6667 0.3333 0.5000 x1


(4)
Material: Be3NbW
Method: DFT, PBE-GGA
State: relaxed

Summary:
electronic total energy = -5.702 eV/atom
ΔE_f = 1.138 eV per atom
magnetic moment = 0.00 μB/f.u.
offset from the most stable computed form = 0 meV/atom

abc: 4.172 4.172 4.172
angles: 90.00 90.00 90.00
Space group Pm-3m (No. 221)
Inequivalent atoms, fractional coordinates:
Be: 0.000 0.000 0.500 x3
Nb: 0.500 0.500 0.500 x1
W: 0.000 0.000 0.000 x1


(5)
Material: SnBiAu2
Method: DFT, PBE-GGA
State: relaxed

Summary:
electronic total energy = -3.620 eV/atom
ΔE_f = -0.011 eV per atom
magnetic moment = 0.00 μB/f.u.

abc: 3.607 3.607 7.170
angles: 90.00 90.00 90.00
Space group P4/mmm (No. 123)
Inequivalent atoms, fractional coordinates:
Sn: 0.000 0.000 0.000 x1
Bi: 0.000 0.000 0.500 x1
Au: 0.500 0.500 0.228 x2


(6)
Material: BaSiMo2
Method: DFT, PBE-GGA
State: relaxed

Summary:
electronic total energy = -6.134 eV/atom
magnetic moment = 0.00 μB/f.u.
ΔE_f (raw) = 1118 meV/atom

abc: 4.611 4.611 3.485
angles: 90.00 90.00 90.00
Space group P4/mmm (No. 123)
Inequivalent atoms, fractional coordinates:
Ba: 0.000 0.000 0.000 x1
Si: 0.500 0.500 0.000 x1
Mo: 0.000 0.500 0.500 x2